No. 1
VASP calculation (GGA-PBE) on a geometry-optimized La3Ce2PrAs6 structure.

The structure in POSCAR format:
```
La3Ce2PrAs6
1.0
-2.092 6.914 1.882
-4.150 -5.849 2.072
5.781 -0.863 4.661
As Pr Ce La
6 1 2 3
Cartesian
0.187 2.218 2.085
2.773 -0.379 4.554
-3.234 0.582 4.061
-0.510 -2.103 2.149
0.049 2.305 6.466
-0.648 -2.015 6.531
0.000 0.000 0.000
-3.465 -1.599 2.009
-2.778 2.664 1.945
0.458 4.369 4.244
-0.231 0.101 4.308
-0.919 -4.166 4.371
```

Output
Space group: C2/m
DOS(E_F) (states/eV/f.u.): 11.6
Crystal system: monoclinic
Final energy (eV/atom): -6.459

=====

No. 2
VASP calculation (GGA-PBE) on a geometry-optimized La2Ce3PrAs6 structure.

The structure in POSCAR format:
```
La2Ce3PrAs6
1.0
-6.544 -2.827 2.059
5.976 -0.968 4.292
-1.300 7.199 1.295
As La Ce Pr
6 2 3 1
Cartesian
-2.560 0.602 1.570
0.692 2.801 6.076
-1.101 4.395 2.515
-3.466 2.184 5.334
-0.767 -0.991 5.130
1.598 1.220 2.311
-2.370 -2.207 2.804
1.801 -1.588 3.547
-0.934 1.702 3.823
-5.105 1.083 3.079
3.236 2.321 4.566
0.000 0.000 0.000
```

Output
Space group: C2/m
DOS(E_F) (states/eV/f.u.): 16.8
Crystal system: monoclinic
Final energy (eV/atom): -6.516

=====

No. 3
VASP calculation (GGA-PBE) on a geometry-optimized La2CePrAs4 structure.

The structure in POSCAR format:
```
La2CePrAs4
1.0
-4.027 -0.352 -1.525
1.001 -7.351 -0.949
-2.711 1.278 6.863
As Pr La Ce
4 1 2 1
Cartesian
0.088 -5.158 0.956
-2.424 -1.721 0.677
-1.798 -0.916 4.958
-3.312 -4.705 3.712
0.000 0.000 0.000
-0.855 -3.037 2.957
-3.369 0.463 2.669
-1.513 -3.852 -1.237
```

Output
Space group: P2/m
DOS(E_F) (states/eV/f.u.): 6.3
Crystal system: monoclinic
Final energy (eV/atom): -6.416

=====

No. 4
VASP calculation (GGA-PBE) on a geometry-optimized LaCe2PrAs4 structure.

The structure in POSCAR format:
```
LaCe2PrAs4
1.0
-1.057 3.480 2.252
-4.539 -4.094 4.196
3.739 -2.637 5.830
As La Ce Pr
4 1 2 1
Cartesian
-1.194 1.827 4.742
-0.662 -5.077 7.536
-3.046 -2.022 5.758
1.190 -1.229 6.519
0.941 -2.944 9.053
3.739 -2.637 5.830
1.341 0.421 4.041
-0.400 -3.365 5.013
```

Output
Space group: P2/m
DOS(E_F) (states/eV/f.u.): 11.0
Crystal system: monoclinic
Final energy (eV/atom): -6.506

=====

No. 5
VASP calculation (GGA-PBE) on a geometry-optimized La2CeAs4Rh3 structure.

The structure in POSCAR format:
```
La2CeAs4Rh3
1.0
4.379 0.000 0.000
0.000 4.379 0.000
0.000 0.000 11.105
Rh As Ce La
3 4 1 2
Cartesian
2.189 0.000 9.944
0.000 2.189 1.161
0.000 0.000 5.553
0.000 2.189 3.659
0.000 0.000 0.000
2.189 2.189 0.000
2.189 0.000 7.446
2.189 2.189 5.553
0.000 2.189 8.687
2.189 0.000 2.418
```

Output
Space group: P-4m2
DOS(E_F) (states/eV/f.u.): 7.8
Crystal system: tetragonal
Final energy (eV/atom): -6.630

=====

No. 6
VASP calculation (GGA-PBE) on a geometry-optimized LaCeAsS structure.

The structure in POSCAR format:
```
LaCeAsS
1.0
-1.644 0.583 -3.853
-2.455 -3.403 0.532
-4.251 3.431 2.333
As Ce S La
1 1 1 1
Cartesian
-2.581 -2.717 0.690
-4.707 -1.001 1.856
-4.302 0.993 -0.336
-2.176 -0.723 -1.502
```

Output
Space group: P4/mmm
Raw formation energy (eV per formula unit): -7.124
DOS(E_F) (states/eV/f.u.): 7.0
Crystal system: tetragonal

=====

No. 7
VASP calculation (GGA-PBE) on a geometry-optimized LaCeSbAs structure.

The structure in POSCAR format:
```
LaCeSbAs
1.0
4.413 0.000 0.000
2.206 3.822 0.000
2.206 1.274 7.289
La Ce As Sb
1 1 1 1
Cartesian
6.619 3.822 5.585
2.206 1.274 1.702
6.619 3.822 0.068
4.413 2.548 3.578
```

Output
Space group: R3m
Raw formation energy (eV per formula unit): -5.264
DOS(E_F) (states/eV/f.u.): 5.8
Crystal system: trigonal

=====

No. 8
VASP calculation (GGA-PBE) on a geometry-optimized La2CeScAs4 structure.

The structure in POSCAR format:
```
La2CeScAs4
1.0
-1.772 2.874 2.539
-4.872 -4.940 2.192
5.857 -0.252 4.372
As Sc Ce La
4 1 1 2
Cartesian
-0.086 -2.534 6.323
-0.701 0.216 2.781
-2.303 -3.774 2.665
3.288 -1.418 3.900
0.000 0.000 0.000
-3.322 -1.033 2.366
2.043 1.311 3.456
0.492 -2.596 3.282
```

Output
Space group: P2/m
DOS(E_F) (states/eV/f.u.): 6.1
Crystal system: monoclinic
Final energy (eV/atom): -6.539

=====

No. 9
VASP calculation (GGA-PBE) on a geometry-optimized LaCeAsSe structure.

The structure in POSCAR format:
```
LaCeAsSe
1.0
4.280 0.000 0.000
0.000 4.280 0.000
0.000 0.000 6.066
La Ce As Se
1 1 1 1
Cartesian
2.140 2.140 3.033
0.000 0.000 0.000
2.140 2.140 0.000
0.000 0.000 3.033
```

Output
Space group: P4/mmm
Raw formation energy (eV per formula unit): -6.938
DOS(E_F) (states/eV/f.u.): 6.7
Crystal system: tetragonal

=====

No. 10
VASP calculation (GGA-PBE) on a geometry-optimized La4Ce3SmAs8 structure.

The structure in POSCAR format:
```
La4Ce3SmAs8
1.0
8.588 0.000 0.000
0.000 8.599 0.000
-4.294 -4.288 6.077
As La Ce Sm
8 4 3 1
Cartesian
2.156 2.204 0.045
-2.139 2.108 6.032
2.139 2.108 6.032
4.294 0.069 3.071
6.433 2.204 0.045
0.000 4.243 3.006
4.294 4.246 2.996
0.000 0.065 3.081
-2.147 -2.144 3.038
0.000 0.000 0.000
4.294 0.000 0.000
2.147 -2.144 3.038
2.147 2.156 3.038
-2.147 2.156 3.038
4.294 4.300 0.000
0.000 4.300 0.000
```

Output
Space group: R-3m
DOS(E_F) (states/eV/f.u.): 17.6
Crystal system: trigonal
Final energy (eV/atom): -6.477

=====

No. 11
VASP calculation (GGA-PBE) on a geometry-optimized LaCeSm2As4 structure.

The structure in POSCAR format:
```
LaCeSm2As4
1.0
-3.751 1.147 -1.653
0.822 -5.007 -5.340
-2.921 -6.416 2.177
As Ce Sm La
4 1 2 1
Cartesian
-1.586 -8.600 -2.368
-3.883 -5.513 -0.495
-1.967 -4.763 -4.321
-4.264 -1.676 -2.447
-1.464 -1.930 -3.496
-3.336 -2.634 0.262
-2.921 -6.416 2.177
-1.050 -5.711 -1.581
```

Output
Space group: P2/m
DOS(E_F) (states/eV/f.u.): 6.2
Crystal system: monoclinic
Final energy (eV/atom): -6.376

=====

No. 12
VASP calculation (GGA-PBE) on a geometry-optimized La2CeSm3As6 structure.

The structure in POSCAR format:
```
La2CeSm3As6
1.0
4.273 0.000 0.000
0.000 8.537 0.311
-2.137 -2.452 8.968
As Sm Ce La
6 3 1 2
Cartesian
0.000 6.235 6.292
2.136 4.210 3.140
0.000 1.874 6.140
0.000 6.423 0.273
2.137 -0.338 9.006
2.136 -0.150 2.987
2.137 4.269 0.156
2.137 -0.211 6.017
0.000 6.295 3.262
2.137 0.000 0.000
2.137 4.053 6.190
0.000 2.032 3.089
```

Output
Space group: C2/m
DOS(E_F) (states/eV/f.u.): 5.9
Crystal system: monoclinic
Final energy (eV/atom): -6.348